No. 1
The following is a PBE calculation of an optimized crystal structure of SbPb5, from the Alexandria database.

Calculated values
calculated volume: 782 Å³/cell
DFT total energy: -3.558 eV per atom
Fermi-level density of states: 4.8 states/eV/f.u.
raw formation energy: 219.4 meV/atom
total moment: 0.00 μB per formula unit

Lattice parameters (Å, degrees): 9.213 9.213 9.213 90.00 90.00 90.00
Space group F-43m (No. 216)
Unique sites:
Sb  0.000  0.000  0.000 (multiplicity 4)
Pb  0.125  0.125  0.375 (multiplicity 16)
Pb  0.250  0.250  0.750 (multiplicity 4)

---

No. 2
The following is a PBE calculation of an optimized crystal structure of SbPb2, from the Alexandria database.

Calculated values
calculated volume: 390 Å³/cell
DFT total energy: -3.778 eV per atom
Fermi-level density of states: 1.2 states/eV/f.u.
raw formation energy: 68.4 meV/atom
total moment: 0.00 μB per formula unit

Lattice parameters (Å, degrees): 7.464 7.464 6.994 90.00 90.00 90.00
Space group I4/mcm (No. 140)
Unique sites:
Sb  0.000  0.000  0.250 (multiplicity 4)
Pb  0.157  0.343  0.000 (multiplicity 8)

---

No. 3
The following is a PBE calculation of an optimized crystal structure of SbPb, from the Alexandria database.

Calculated values
calculated volume: 180 Å³/cell
DFT total energy: -3.765 eV per atom
Fermi-level density of states: 1.7 states/eV/f.u.
raw formation energy: 150.5 meV/atom
total moment: 0.00 μB per formula unit

Lattice parameters (Å, degrees): 3.5202 3.5202 16.7676 90.00 90.00 120.00
Space group R-3m (No. 166, hexagonal axes)
Unique sites:
Sb  0.0000  0.0000  0.0000 (multiplicity 3)
Pb  0.0000  0.0000  0.5000 (multiplicity 3)

---

No. 4
The following is a PBE calculation of an optimized crystal structure of SbPb, from the Alexandria database.

Calculated values
calculated volume: 244 Å³/cell
DFT total energy: -3.844 eV per atom
Fermi-level density of states: 0.8 states/eV/f.u.
raw formation energy: 71.6 meV/atom
total moment: 0.00 μB per formula unit

Lattice parameters (Å, degrees): 12.988 3.342 6.241 90.00 115.75 90.00
Space group C2/m (No. 12)
Unique sites:
Sb  0.114  0.000  0.492 (multiplicity 4)
Pb  0.139  0.500  0.043 (multiplicity 4)